First-principles (PBE) data for an optimized crystal structure of Pm4BPI2, as listed in Alexandria.

Lattice parameters (Å, degrees): 7.1442 4.1138 8.0358 90.00 107.12 90.00
Last column: nearest neighbours and their distance in Å.
Fractional coordinates of all 8 atoms:
Pm  0.2099  0.0000  0.1822  2 B 2.71, 1 P 2.87
Pm  0.2549  0.5000  0.8140  1 B 2.67, 2 P 2.83
Pm  0.7451  0.5000  0.1860  1 B 2.67, 2 P 2.83
Pm  0.7901  0.0000  0.8178  2 B 2.71, 1 P 2.87
B  0.0000  0.5000  0.0000  6 Pm 2.67-2.71
P  0.5000  0.0000  0.0000  6 Pm 2.83-2.87
I  0.0000  0.0000  0.5000  6 Pm 3.32-3.35
I  0.5000  0.5000  0.5000  6 Pm 3.45-3.47

Computed properties:
Its formation energy from raw total energies is -1.005 eV per atom. Its density of states at the Fermi level is 3.7 states/eV per cell. The calculation puts the magnetic moment at 0.00 μB/f.u.

=====

First-principles (PBE) data for an optimized crystal structure of Pm8BP3I4, as listed in Alexandria.

Lattice parameters (Å, degrees): 9.0393 9.0393 9.0393 54.82 54.82 54.82
Last column: nearest neighbours and their distance in Å.
Fractional coordinates of all 16 atoms:
Pm  0.2292  0.2292  0.2292  3 P 2.80
Pm  0.2477  0.7185  0.7185  1 B 2.67, 2 P 2.85
Pm  0.2815  0.2815  0.7523  1 B 2.67, 2 P 2.85
Pm  0.2815  0.7523  0.2815  1 B 2.67, 2 P 2.85
Pm  0.7185  0.2477  0.7185  1 B 2.67, 2 P 2.85
Pm  0.7185  0.7185  0.2477  1 B 2.67, 2 P 2.85
Pm  0.7523  0.2815  0.2815  1 B 2.67, 2 P 2.85
Pm  0.7708  0.7708  0.7708  3 P 2.80
B  0.5000  0.5000  0.5000  6 Pm 2.67
P  0.0000  0.0000  0.5000  6 Pm 2.80-2.85
P  0.0000  0.5000  0.0000  6 Pm 2.80-2.85
P  0.5000  0.0000  0.0000  6 Pm 2.80-2.85
I  0.0000  0.0000  0.0000  6 Pm 3.51
I  0.0000  0.5000  0.5000  6 Pm 3.36-3.39
I  0.5000  0.0000  0.5000  6 Pm 3.36-3.39
I  0.5000  0.5000  0.0000  6 Pm 3.36-3.39

Computed properties:
Its formation energy from raw total energies is -1.195 eV per atom. Its density of states at the Fermi level is 6.6 states/eV per cell. The calculation puts the magnetic moment at 0.00 μB/f.u.

=====

First-principles (PBE) data for an optimized crystal structure of Rb2BPI6, as listed in Alexandria.

Lattice parameters (Å, degrees): 8.1077 8.1077 8.1077 114.18 114.18 100.42
Last column: nearest neighbours and their distance in Å.
Fractional coordinates of all 10 atoms:
Rb  0.2500  0.7500  0.5000  12 I 4.07-4.43
Rb  0.7500  0.2500  0.5000  12 I 4.07-4.43
B  0.0000  0.0000  0.0000  2 I 2.14
P  0.5000  0.5000  0.0000  6 I 2.81-3.05
I  0.2064  0.2064  0.0000  1 B 2.14
I  0.2746  0.2746  0.5493  1 P 2.81
I  0.2746  0.7254  0.0000  1 P 2.81
I  0.7254  0.2746  0.0000  1 P 2.81
I  0.7254  0.7254  0.4507  1 P 2.81
I  0.7936  0.7936  0.0000  1 B 2.14

Computed properties:
Its formation energy from raw total energies is -0.301 eV per atom. Its density of states at the Fermi level is 0.0 states/eV per cell. The calculation puts the magnetic moment at 0.00 μB/f.u.